DFT (PBE-GGA) results for crystalline HfHgS2Cl at its relaxed geometry.

Calculated values
N(E_F)   0.89 states/eV/atom
Crystal system   tetragonal
Size of the total moment   0.24 μB/atom
Relative energy among the computed polymorphs   7.10 eV per formula unit
SG   P4/mmm

abc: 4.9492 4.9492 5.0262
angles: 90.00 90.00 90.00
Last column: nearest neighbours and their distance in Å.
Element x y z (fractional)
S  0.5000  0.0000  0.0000  2 Hg 2.47
S  0.0000  0.5000  0.0000  2 Hg 2.47
Cl  0.0000  0.0000  0.5000  2 Hg 2.51
Hf  0.5000  0.5000  0.5000  4 Cl 3.50, 8 S 3.53
Hg  0.0000  0.0000  0.0000  4 S 2.47, 2 Cl 2.51